! Mg2Tl3Cd9 | the Alexandria database | GGA-PBE | optimized geometry; values from VASP
&SYSTEM
  ibrav = 0, nat = 14, ntyp = 3
/
ATOMIC_SPECIES
Cd 112.41 Cd.upf
Tl 204.38 Tl.upf
Mg 24.30 Mg.upf
ATOMIC_POSITIONS crystal
Cd 0.145 0.573 0.138
Cd 0.145 0.138 0.573
Cd 0.855 0.427 0.862
Cd 0.370 0.998 0.261
Cd 0.855 0.862 0.427
Cd 0.000 0.500 0.500
Cd 0.629 0.739 0.002
Cd 0.371 0.261 0.998
Cd 0.630 0.002 0.739
Tl 0.000 0.000 0.000
Tl 0.278 0.722 0.722
Tl 0.722 0.278 0.278
Mg 0.500 0.646 0.354
Mg 0.500 0.354 0.646
CELL_PARAMETERS angstrom
4.799 0.000 1.225
2.041 8.337 2.017
0.311 -0.499 8.797
! Formation energy   0.1 eV per formula unit
! Density   7.89 g/cm³
! Fermi-level density of states   5.6 states/eV/f.u.
! SG   Immm (71)

---

! SnCSe3 | the Alexandria database | GGA-PBE | optimized geometry; values from VASP
&SYSTEM
  ibrav = 0, nat = 5, ntyp = 3
/
ATOMIC_SPECIES
Sn 118.71 Sn.upf
C 12.01 C.upf
Se 78.96 Se.upf
ATOMIC_POSITIONS crystal
Sn 0.000 0.000 0.000
C 0.500 0.500 0.500
Se 0.000 0.000 0.500
Se 0.500 0.000 0.000
Se 0.000 0.500 0.000
CELL_PARAMETERS angstrom
5.257 0.000 0.000
0.000 5.257 0.000
0.000 0.000 5.257
! Density   4.20 g/cm³
! Excess energy over the best structure of this formula in the dataset   1073 meV per atom
! Fermi-level density of states   10.0 states/eV/f.u.
! ΔE_f (raw)   1.891 eV/atom
! SG   Pm-3m (221)

---

! PuTl2Cl6 | the Alexandria database | GGA-PBE | optimized geometry; values from VASP
&SYSTEM
  ibrav = 0, nat = 18, ntyp = 3
/
ATOMIC_SPECIES
Cl 35.45 Cl.upf
Tl 204.38 Tl.upf
Pu 244.00 Pu.upf
ATOMIC_POSITIONS crystal
Cl 0.680 0.680 0.640
Cl 0.820 0.180 0.140
Cl 0.261 0.261 0.000
Cl 0.680 0.680 0.360
Cl 0.180 0.820 0.140
Cl 0.239 0.761 0.500
Cl 0.320 0.320 0.640
Cl 0.320 0.320 0.360
Cl 0.761 0.239 0.500
Cl 0.180 0.820 0.860
Cl 0.739 0.739 0.000
Cl 0.820 0.180 0.860
Tl 0.500 0.500 0.166
Tl 0.500 0.500 0.834
Tl 0.000 0.000 0.334
Tl 0.000 0.000 0.666
Pu 0.500 0.500 0.500
Pu 0.000 0.000 0.000
CELL_PARAMETERS angstrom
-6.985 -0.741 0.617
0.927 -3.922 5.786
-0.511 11.205 7.678
! Density   4.25 g/cm³
! Fermi-level density of states   1.9 states/eV/f.u.
! ΔE_f (raw)   -1.423 eV/atom
! SG   P4_2/mnm (136)

---

! GdHfPb2 | the Alexandria database | GGA-PBE | optimized geometry; values from VASP
&SYSTEM
  ibrav = 0, nat = 4, ntyp = 3
/
ATOMIC_SPECIES
Pb 207.20 Pb.upf
Hf 178.49 Hf.upf
Gd 157.25 Gd.upf
ATOMIC_POSITIONS crystal
Pb 0.000 0.500 0.000
Pb 0.000 0.000 0.500
Hf 0.500 0.500 0.500
Gd 0.500 0.000 0.000
CELL_PARAMETERS angstrom
4.399 0.000 0.000
0.000 4.871 0.000
0.000 0.000 4.871
! Formation energy   -0.5 eV per formula unit
! Density   11.93 g/cm³
! Excess energy over the best structure of this formula in the dataset   13 meV per atom
! Fermi-level density of states   4.1 states/eV/f.u.
! SG   P4/mmm (123)

---

! Hf6CuBi | the Alexandria database | GGA-PBE | optimized geometry; values from VASP
&SYSTEM
  ibrav = 0, nat = 8, ntyp = 3
/
ATOMIC_SPECIES
Cu 63.55 Cu.upf
Hf 178.49 Hf.upf
Bi 208.98 Bi.upf
ATOMIC_POSITIONS crystal
Cu 0.000 0.000 0.000
Hf 0.376 0.124 0.124
Hf 0.124 0.376 0.376
Hf 0.247 0.753 0.753
Hf 0.624 0.876 0.876
Hf 0.876 0.624 0.624
Hf 0.753 0.247 0.247
Bi 0.500 0.500 0.500
CELL_PARAMETERS angstrom
5.103 0.227 -0.374
2.848 7.026 1.549
2.334 4.103 5.723
! Formation energy   0.0 eV per formula unit
! Density   13.00 g/cm³
! Fermi-level density of states   8.8 states/eV/f.u.
! SG   Fmmm (69)

---

! BaCu2PH | the Alexandria database | GGA-PBE | optimized geometry; values from VASP
&SYSTEM
  ibrav = 0, nat = 10, ntyp = 4
/
ATOMIC_SPECIES
Cu 63.55 Cu.upf
P 30.97 P.upf
H 1.01 H.upf
Ba 137.33 Ba.upf
ATOMIC_POSITIONS crystal
Cu 0.819 0.638 0.434
Cu 0.181 0.362 0.566
Cu 0.819 0.638 0.066
Cu 0.181 0.362 0.934
P 0.726 0.453 0.750
P 0.274 0.547 0.250
H 0.000 0.000 0.000
H 0.000 0.000 0.500
Ba 0.551 0.103 0.250
Ba 0.449 0.897 0.750
CELL_PARAMETERS angstrom
4.073 0.000 0.000
-2.036 5.744 0.000
0.000 0.000 6.952
! Density   6.05 g/cm³
! Excess energy over the best structure of this formula in the dataset   0 meV per atom
! Fermi-level density of states   0.3 states/eV/f.u.
! SG   Cmcm (63)

---

! CrCu2W | the Alexandria database | GGA-PBE | optimized geometry; values from VASP
&SYSTEM
  ibrav = 0, nat = 4, ntyp = 3
/
ATOMIC_SPECIES
Cu 63.55 Cu.upf
W 183.84 W.upf
Cr 52.00 Cr.upf
ATOMIC_POSITIONS crystal
Cu 0.500 0.500 0.239
Cu 0.000 0.000 0.000
W 0.000 0.000 0.503
Cr 0.500 0.500 0.759
CELL_PARAMETERS angstrom
2.586 0.001 0.000
-0.734 2.479 0.000
0.000 0.000 8.276
! Formation energy   1.0 eV per formula unit
! Density   11.36 g/cm³
! Excess energy over the best structure of this formula in the dataset   0 meV per atom
! Fermi-level density of states   2.6 states/eV/f.u.
! SG   Cmm2 (35)

---

! CeSm2Ga6 | the Alexandria database | GGA-PBE | optimized geometry; values from VASP
&SYSTEM
  ibrav = 0, nat = 9, ntyp = 3
/
ATOMIC_SPECIES
Ga 69.72 Ga.upf
Ce 140.12 Ce.upf
Sm 150.36 Sm.upf
ATOMIC_POSITIONS crystal
Ga 0.319 0.511 0.638
Ga 0.681 0.489 0.362
Ga 0.500 0.184 0.000
Ga 0.319 0.127 0.638
Ga 0.500 0.816 0.000
Ga 0.681 0.873 0.362
Ce 0.000 0.500 0.000
Sm 0.128 0.128 0.257
Sm 0.872 0.872 0.743
CELL_PARAMETERS angstrom
-0.739 -3.196 -2.922
3.991 -4.546 3.964
-7.066 2.041 2.858
! Formation energy   -3.9 eV per formula unit
! Density   6.74 g/cm³
! Excess energy over the best structure of this formula in the dataset   217 meV per atom
! Fermi-level density of states   10.7 states/eV/f.u.
! SG   Immm (71)